Cs2RbScCl6: single point on PBEsol structure, SCAN.

Computed properties:
The calculation puts the calculated volume at 1337.64 Å³ per cell. The value obtained for the formation energy from raw total energies is -2.331 eV/atom.

Lattice parameters (Å, degrees): 11.018 11.018 11.018 90.00 90.00 90.00
Space group Fm-3m (No. 225)
Symmetry-distinct sites (fractional):
1 Cs 0.250 0.250 0.250 x8
2 Rb 0.000 0.000 0.000 x4
3 Sc 0.000 0.000 0.500 x4
4 Cl 0.000 0.000 0.276 x24

Cs2RbSmCl6: single point on PBEsol structure, SCAN.

Computed properties:
The calculation puts the calculated volume at 1495.48 Å³ per cell. The value obtained for the formation energy from raw total energies is -2.369 eV/atom.

Lattice parameters (Å, degrees): 11.436 11.436 11.436 90.00 90.00 90.00
Space group Fm-3m (No. 225)
Symmetry-distinct sites (fractional):
1 Cs 0.250 0.250 0.250 x8
2 Rb 0.000 0.000 0.000 x4
3 Sm 0.000 0.000 0.500 x4
4 Cl 0.000 0.000 0.267 x24

CsRb2SnCl: single point on PBEsol structure, SCAN.

Computed properties:
The calculation puts the calculated volume at 297.02 Å³ per cell. The value obtained for the formation energy from raw total energies is -0.282 eV/atom.

Lattice parameters (Å, degrees): 7.171 7.171 5.775 90.00 90.00 90.00
Space group P4/mmm (No. 123)
Symmetry-distinct sites (fractional):
1 Cs 0.000 0.000 0.000 x1
2 Rb 0.000 0.500 0.500 x2
3 Sn 0.500 0.500 0.500 x1
4 Cl 0.500 0.500 0.000 x1

CsRb2TbCl6: single point on PBEsol structure, SCAN.

Computed properties:
The calculation puts the calculated volume at 1567.72 Å³ per cell. The value obtained for the formation energy from raw total energies is -2.273 eV/atom.

Lattice parameters (Å, degrees): 11.617 11.617 11.617 90.00 90.00 90.00
Space group Fm-3m (No. 225)
Symmetry-distinct sites (fractional):
1 Cs 0.000 0.000 0.000 x4
2 Rb 0.250 0.250 0.250 x8
3 Tb 0.000 0.000 0.500 x4
4 Cl 0.000 0.000 0.275 x24

Cs2RbTbCl6: single point on PBEsol structure, SCAN.

Computed properties:
The calculation puts the calculated volume at 1456.07 Å³ per cell. The value obtained for the formation energy from raw total energies is -2.381 eV/atom.

Lattice parameters (Å, degrees): 11.334 11.334 11.334 90.00 90.00 90.00
Space group Fm-3m (No. 225)
Symmetry-distinct sites (fractional):
1 Cs 0.250 0.250 0.250 x8
2 Rb 0.000 0.000 0.000 x4
3 Tb 0.000 0.000 0.500 x4
4 Cl 0.000 0.000 0.269 x24

Cs2RbYCl6: single point on PBEsol structure, SCAN.

Computed properties:
The calculation puts the calculated volume at 1445.49 Å³ per cell. The value obtained for the formation energy from raw total energies is -2.397 eV/atom.

Lattice parameters (Å, degrees): 11.307 11.307 11.307 90.00 90.00 90.00
Space group Fm-3m (No. 225)
Symmetry-distinct sites (fractional):
1 Cs 0.250 0.250 0.250 x8
2 Rb 0.000 0.000 0.000 x4
3 Y 0.000 0.000 0.500 x4
4 Cl 0.000 0.000 0.270 x24

CsReCl3: single point on PBEsol structure, SCAN.

Computed properties:
The calculation puts the calculated volume at 119.34 Å³ per cell. The value obtained for the formation energy from raw total energies is -0.654 eV/atom.

Lattice parameters (Å, degrees): 4.923 4.923 4.923 90.00 90.00 90.00
Space group Pm-3m (No. 221)
Symmetry-distinct sites (fractional):
1 Cs 0.000 0.000 0.000 x1
2 Re 0.500 0.500 0.500 x1
3 Cl 0.000 0.500 0.500 x3

Cs2ScReCl: single point on PBEsol structure, SCAN.

Computed properties:
The calculation puts the calculated volume at 178.45 Å³ per cell. The value obtained for the formation energy from raw total energies is 1.069 eV/atom.

Lattice parameters (Å, degrees): 6.393 6.393 4.366 90.00 90.00 90.00
Space group P4/mmm (No. 123)
Symmetry-distinct sites (fractional):
1 Cs 0.000 0.500 0.000 x2
2 Sc 0.000 0.000 0.500 x1
3 Re 0.500 0.500 0.500 x1
4 Cl 0.500 0.500 0.000 x1

Cs2ReTcCl: single point on PBEsol structure, SCAN.

Computed properties:
The calculation puts the calculated volume at 174.03 Å³ per cell. The value obtained for the formation energy from raw total energies is 1.664 eV/atom.

Lattice parameters (Å, degrees): 6.316 6.316 4.362 90.00 90.00 90.00
Space group P4/mmm (No. 123)
Symmetry-distinct sites (fractional):
1 Cs 0.000 0.500 0.000 x2
2 Re 0.000 0.000 0.500 x1
3 Tc 0.500 0.500 0.000 x1
4 Cl 0.500 0.500 0.500 x1

Cs3Ru2Cl9: single point on PBEsol structure, SCAN.

Computed properties:
The calculation puts the calculated volume at 777.55 Å³ per cell. The value obtained for the formation energy from raw total energies is -1.433 eV/atom.

Lattice parameters (Å, degrees): 7.1773 7.1773 17.4292 90.00 90.00 120.00
Space group P6_3/mmc (No. 194)
Symmetry-distinct sites (fractional):
1 Cs 0.0000 0.0000 0.2500 x2
2 Cs 0.3333 0.6667 0.0719 x4
3 Ru 0.3333 0.6667 0.6747 x4
4 Cl 0.0165 0.5083 0.7500 x6
5 Cl 0.1813 0.3626 0.5970 x12

CsSb2SCl: single point on PBEsol structure, SCAN.

Computed properties:
The calculation puts the calculated volume at 183.85 Å³ per cell. The value obtained for the formation energy from raw total energies is -0.264 eV/atom.

Lattice parameters (Å, degrees): 5.092 5.092 7.092 90.00 90.00 90.00
Space group P4/mmm (No. 123)
Symmetry-distinct sites (fractional):
1 Cs 0.000 0.000 0.000 x1
2 Sb 0.000 0.500 0.500 x2
3 S 0.000 0.000 0.500 x1
4 Cl 0.500 0.500 0.000 x1

CsSiSCl2: single point on PBEsol structure, SCAN.

Computed properties:
The calculation puts the calculated volume at 119.29 Å³ per cell. The value obtained for the formation energy from raw total energies is -1.030 eV/atom.

Lattice parameters (Å, degrees): 5.124 5.124 4.544 90.00 90.00 90.00
Space group P4/mmm (No. 123)
Symmetry-distinct sites (fractional):
1 Cs 0.000 0.000 0.000 x1
2 Si 0.500 0.500 0.500 x1
3 S 0.500 0.500 0.000 x1
4 Cl 0.000 0.500 0.500 x2

CsZrS2Cl: single point on PBEsol structure, SCAN.

Computed properties:
The calculation puts the calculated volume at 129.31 Å³ per cell. The value obtained for the formation energy from raw total energies is -1.798 eV/atom.

Lattice parameters (Å, degrees): 4.995 4.995 5.182 90.00 90.00 90.00
Space group P4/mmm (No. 123)
Symmetry-distinct sites (fractional):
1 Cs 0.000 0.000 0.000 x1
2 Zr 0.500 0.500 0.500 x1
3 S 0.000 0.500 0.500 x2
4 Cl 0.500 0.500 0.000 x1

Cs2SbCl: single point on PBEsol structure, SCAN.

Computed properties:
The calculation puts the calculated volume at 821.42 Å³ per cell. The value obtained for the formation energy from raw total energies is -0.868 eV/atom.

Lattice parameters (Å, degrees): 9.489 9.489 9.122 90.00 90.00 90.00
Space group I-42d (No. 122)
Symmetry-distinct sites (fractional):
1 Cs 0.201 0.250 0.125 x8
2 Sb 0.000 0.000 0.500 x4
3 Cl 0.000 0.000 0.000 x4

Cs2SbCl6: single point on PBEsol structure, SCAN.

Computed properties:
The calculation puts the calculated volume at 1103.66 Å³ per cell. The value obtained for the formation energy from raw total energies is -1.531 eV/atom.

Lattice parameters (Å, degrees): 10.334 10.334 10.334 90.00 90.00 90.00
Space group Fm-3m (No. 225)
Symmetry-distinct sites (fractional):
1 Cs 0.250 0.250 0.250 x8
2 Sb 0.000 0.000 0.000 x4
3 Cl 0.000 0.000 0.244 x24

Cs2Sb2Cl: single point on PBEsol structure, SCAN.

Computed properties:
The calculation puts the calculated volume at 377.28 Å³ per cell. The value obtained for the formation energy from raw total energies is -1.054 eV/atom.

Lattice parameters (Å, degrees): 4.252 4.252 20.866 90.00 90.00 90.00
Space group I4/mmm (No. 139)
Symmetry-distinct sites (fractional):
1 Cs 0.000 0.000 0.092 x4
2 Sb 0.000 0.500 0.250 x4
3 Cl 0.000 0.000 0.500 x2

Cs3ScCl6: single point on PBEsol structure, SCAN.

Computed properties:
The calculation puts the calculated volume at 1443.35 Å³ per cell. The value obtained for the formation energy from raw total energies is -2.303 eV/atom.

Lattice parameters (Å, degrees): 11.301 11.301 11.301 90.00 90.00 90.00
Space group Fm-3m (No. 225)
Symmetry-distinct sites (fractional):
1 Cs 0.000 0.000 0.000 x4
2 Cs 0.250 0.250 0.250 x8
3 Sc 0.000 0.000 0.500 x4
4 Cl 0.000 0.000 0.282 x24

Cs2ScTlCl6: single point on PBEsol structure, SCAN.

Computed properties:
The calculation puts the calculated volume at 1299.60 Å³ per cell. The value obtained for the formation energy from raw total energies is -2.114 eV/atom.

Lattice parameters (Å, degrees): 10.913 10.913 10.913 90.00 90.00 90.00
Space group Fm-3m (No. 225)
Symmetry-distinct sites (fractional):
1 Cs 0.250 0.250 0.250 x8
2 Sc 0.000 0.000 0.000 x4
3 Tl 0.000 0.000 0.500 x4
4 Cl 0.000 0.000 0.226 x24

CsSeCl2: single point on PBEsol structure, SCAN.

Computed properties:
The calculation puts the calculated volume at 461.57 Å³ per cell. The value obtained for the formation energy from raw total energies is -0.671 eV/atom.

Lattice parameters (Å, degrees): 7.728 7.728 7.728 90.00 90.00 90.00
Space group Fm-3m (No. 225)
Symmetry-distinct sites (fractional):
1 Cs 0.000 0.000 0.000 x4
2 Se 0.000 0.000 0.500 x4
3 Cl 0.250 0.250 0.250 x8

CsSe2Cl: single point on PBEsol structure, SCAN.

Computed properties:
The calculation puts the calculated volume at 389.87 Å³ per cell. The value obtained for the formation energy from raw total energies is -0.391 eV/atom.

Lattice parameters (Å, degrees): 4.9225 4.9225 18.5785 90.00 90.00 120.00
Space group R-3m (No. 166, hexagonal axes)
Symmetry-distinct sites (fractional):
1 Cs 0.0000 0.0000 0.0000 x3
2 Se 0.0000 0.0000 0.1799 x6
3 Cl 0.0000 0.0000 0.5000 x3